Record 1
Density functional theory data (GGA-PBE) for a geometry-optimized Zn3Ag4 structure.

Lattice parameters (Å, degrees): 5.0079 5.0079 5.3895 90.00 90.00 60.00
With the nearest neighbours (Å) after each atom.
Atoms (fractional coordinates):
Ag 0.0000 0.0000 0.2550  2 Ag 2.64-2.75, 6 Zn 2.86
Ag 0.0000 0.0000 0.7450  2 Ag 2.64-2.75, 6 Zn 2.86
Ag 0.3333 0.3333 0.5000  9 Ag 2.89-3.18, 6 Zn 3.06
Ag 0.6667 0.6667 0.5000  9 Ag 2.89-3.18, 6 Zn 3.06
Zn 0.5000 0.5000 0.0000  4 Zn 2.50
Zn 0.0000 0.5000 0.0000  4 Zn 2.50
Zn 0.5000 0.0000 0.0000  4 Zn 2.50

Properties
Spin magnetization, μB/cell: 0.0
ΔE_f, eV/atom: 0.005

***

Record 2
Density functional theory data (GGA-PBE) for a geometry-optimized Zn3Ag8 structure.

Lattice parameters (Å, degrees): 3.8598 5.0744 10.7603 104.95 90.00 112.35
With the nearest neighbours (Å) after each atom.
Atoms (fractional coordinates):
Zn 0.0000 0.0000 0.0000  12 Ag 2.79-3.03
Zn 0.9068 0.8136 0.3632  11 Ag 2.78-3.05, 1 Zn 2.98
Zn 0.0932 0.1864 0.6368  11 Ag 2.78-3.05, 1 Zn 2.98
Ag 0.7196 0.4391 0.0876  4 Zn 2.79-3.03, 8 Ag 2.86-2.95
Ag 0.2804 0.5609 0.9124  4 Zn 2.79-3.03, 8 Ag 2.86-2.95
Ag 0.5453 0.0905 0.8163  4 Zn 2.85-2.88, 8 Ag 2.89-2.95
Ag 0.4547 0.9095 0.1837  4 Zn 2.85-2.88, 8 Ag 2.89-2.95
Ag 0.8110 0.6220 0.7245  4 Zn 2.78-3.05, 8 Ag 2.87-2.93
Ag 0.1890 0.3780 0.2755  4 Zn 2.78-3.05, 8 Ag 2.87-2.93
Ag 0.6302 0.2603 0.4544  5 Zn 2.82-3.02, 7 Ag 2.88-2.93
Ag 0.3698 0.7397 0.5456  5 Zn 2.82-3.02, 7 Ag 2.88-2.93

Properties
Spin magnetization, μB/cell: 0.0
ΔE_f, eV/atom: -0.010

***

Record 3
Density functional theory data (GGA-PBE) for a geometry-optimized ZnAg3 structure.

Lattice parameters (Å, degrees): 5.7882 4.7104 4.9945 90.00 90.00 90.00
With the nearest neighbours (Å) after each atom.
Atoms (fractional coordinates):
Ag 0.0000 0.5000 0.3388  8 Ag 2.85-2.92, 4 Zn 2.88-2.89
Ag 0.2498 0.0000 0.1698  8 Ag 2.85-2.92, 4 Zn 2.88-2.89
Ag 0.2502 0.5000 0.8302  8 Ag 2.85-2.92, 4 Zn 2.88-2.89
Ag 0.5000 0.0000 0.6612  8 Ag 2.85-2.92, 4 Zn 2.88-2.89
Ag 0.7502 0.0000 0.1698  8 Ag 2.85-2.92, 4 Zn 2.88-2.89
Ag 0.7498 0.5000 0.8302  8 Ag 2.85-2.92, 4 Zn 2.88-2.89
Zn 0.0000 0.0000 0.6717  12 Ag 2.88-2.89
Zn 0.5000 0.5000 0.3283  12 Ag 2.88-2.89

Properties
Spin magnetization, μB/cell: 0.0
ΔE_f, eV/atom: -0.016

***

Record 4
Density functional theory data (GGA-PBE) for a geometry-optimized Zn4Ag structure.

Lattice parameters (Å, degrees): 5.0832 5.0832 5.0832 109.47 109.47 109.47
With the nearest neighbours (Å) after each atom.
Atoms (fractional coordinates):
Zn 0.5000 0.0000 0.0000  2 Ag 2.54
Zn 0.5000 0.5000 0.5000  2 Ag 2.54
Zn 0.0000 0.5000 0.0000  2 Ag 2.54
Zn 0.0000 0.0000 0.5000  2 Ag 2.54
Ag 0.0000 0.0000 0.0000  8 Zn 2.54

Properties
Spin magnetization, μB/cell: 0.0
ΔE_f, eV/atom: 0.235

***

Record 5
Density functional theory data (GGA-PBE) for a geometry-optimized Zn15Ag structure.

Lattice parameters (Å, degrees): 5.4165 5.4165 9.5239 90.00 90.00 120.00
With the nearest neighbours (Å) after each atom.
Atoms (fractional coordinates):
Zn 0.0000 0.0000 0.5000  12 Zn 2.71-2.84
Zn 0.0002 0.5001 0.0000  10 Zn 2.71-2.86, 2 Ag 2.71
Zn 0.0001 0.5001 0.5000  12 Zn 2.71-2.84
Zn 0.4999 0.9998 0.0000  10 Zn 2.71-2.86, 2 Ag 2.71
Zn 0.4999 0.9999 0.5000  12 Zn 2.71-2.84
Zn 0.4999 0.5001 0.0000  10 Zn 2.71-2.86, 2 Ag 2.71
Zn 0.4999 0.5001 0.5000  12 Zn 2.71-2.84
Zn 0.8324 0.1676 0.2513  11 Zn 2.69-2.86, 1 Ag 2.86
Zn 0.8324 0.1676 0.7487  11 Zn 2.69-2.86, 1 Ag 2.86
Zn 0.8324 0.6648 0.2513  11 Zn 2.69-2.86, 1 Ag 2.86
Zn 0.8324 0.6648 0.7487  11 Zn 2.69-2.86, 1 Ag 2.86
Zn 0.3352 0.1676 0.2513  11 Zn 2.69-2.86, 1 Ag 2.86
Zn 0.3352 0.1676 0.7487  11 Zn 2.69-2.86, 1 Ag 2.86
Zn 0.3333 0.6667 0.2512  12 Zn 2.71-2.86
Zn 0.3333 0.6667 0.7488  12 Zn 2.71-2.86
Ag 0.0000 0.0000 0.0000  12 Zn 2.71-2.86

Properties
Spin magnetization, μB/cell: 0.0
ΔE_f, eV/atom: -0.016

***

Record 6
Density functional theory data (GGA-PBE) for a geometry-optimized Zn5Ag6 structure.

Lattice parameters (Å, degrees): 7.8832 6.4405 4.9523 77.43 69.18 52.27
With the nearest neighbours (Å) after each atom.
Atoms (fractional coordinates):
Zn 0.5000 0.0000 0.5000  6 Zn 2.73-2.80, 6 Ag 2.79-2.85
Zn 0.3727 0.2547 0.0000  5 Zn 2.59-2.86, 6 Ag 2.72-2.80
Zn 0.6273 0.7453 0.0000  5 Zn 2.59-2.86, 6 Ag 2.72-2.80
Zn 0.2317 0.5365 0.5000  3 Zn 2.73-2.86, 6 Ag 2.74-2.81
Zn 0.7683 0.4635 0.5000  3 Zn 2.73-2.86, 6 Ag 2.74-2.81
Ag 0.8096 0.0000 0.6478  5 Zn 2.75-2.79, 5 Ag 2.83-2.90
Ag 0.1904 0.0000 0.3522  5 Zn 2.75-2.79, 5 Ag 2.83-2.90
Ag 0.3361 0.7095 0.8493  5 Zn 2.72-2.85, 5 Ag 2.84-2.96
Ag 0.9544 0.7095 0.1507  5 Zn 2.72-2.85, 5 Ag 2.84-2.96
Ag 0.6639 0.2905 0.1507  5 Zn 2.72-2.85, 5 Ag 2.84-2.96
Ag 0.0456 0.2905 0.8493  5 Zn 2.72-2.85, 5 Ag 2.84-2.96

Properties
Spin magnetization, μB/cell: 0.0
ΔE_f, eV/atom: 0.014

***

Which value of spin magnetization does entry 4 give? 0.0 μB/cell